(1)
A plane-wave DFT calculation with GGA-PBE was carried out for BeAuBr2 after structural relaxation.

The structure belongs to space group C2/m (No. 12); the cell edges are 7.525, 7.524 and 5.232 Å and the angles 90.00°, 133.53° and 90.00°. The distinct sites, in fractional coordinates, are Be at (0.000, 0.000, 0.000), Au at (0.000, 0.500, 0.000) and Br at (0.250, 0.250, 0.000).

The total magnetization comes out at 0.00 μB per atom. As for the total energy: -2.21 eV/atom.

---

(2)
A plane-wave DFT calculation with GGA-PBE was carried out for MgSc6Ni after structural relaxation.

The structure belongs to space group C2/m (No. 12); the cell edges are 6.425, 10.607 and 6.133 Å and the angles 90.00°, 116.05° and 90.00°. The distinct sites, in fractional coordinates, are Mg at (0.000, 0.000, 0.000), Sc at (0.203, 0.293, 0.745), Sc at (0.223, 0.500, 0.286) and Ni at (0.000, 0.500, 0.500).

The total magnetization comes out at 0.00 μB per atom. As for the total energy: -5.56 eV/atom.

---

(3)
A plane-wave DFT calculation with GGA-PBE was carried out for ZnFeTc2 after structural relaxation.

The structure belongs to space group I-42d (No. 122); the cell edges are 6.953, 6.953 and 4.938 Å and the angles 90.00°, 90.00° and 90.00°. The distinct sites, in fractional coordinates, are Zn at (0.000, 0.000, 0.000), Fe at (0.000, 0.000, 0.500) and Tc at (0.195, 0.750, 0.625).

The total magnetization comes out at 0.00 μB per atom. As for the total energy: -7.03 eV/atom.

---

(4)
A plane-wave DFT calculation with GGA-PBE was carried out for Tm2Be3Si4Pt after structural relaxation.

The structure belongs to space group P-4m2 (No. 115); the cell edges are 3.896, 3.896 and 9.782 Å and the angles 90.00°, 90.00° and 90.00°. The distinct sites, in fractional coordinates, are Tm at (0.000, 0.500, 0.244), Be at (0.000, 0.500, 0.869), Be at (0.500, 0.500, 0.500), Si at (0.000, 0.000, 0.000), Si at (0.000, 0.500, 0.644), Si at (0.500, 0.500, 0.000) and Pt at (0.000, 0.000, 0.500).

The total magnetization comes out at 0.00 μB per atom. As for the total energy: -5.33 eV/atom.

---

(5)
A plane-wave DFT calculation with GGA-PBE was carried out for Cs2CeSn2S6 after structural relaxation.

The structure belongs to space group C2/m (No. 12); the cell edges are 12.998, 7.619 and 8.689 Å and the angles 90.00°, 121.75° and 90.00°. The distinct sites, in fractional coordinates, are Cs at (0.210, 0.000, 0.196), Ce at (0.000, 0.000, 0.500), Sn at (0.043, 0.500, 0.191), S at (0.045, 0.240, 0.766) and S at (0.238, 0.000, 0.625).

The total magnetization comes out at 0.00 μB per atom. As for the total energy: -4.68 eV/atom.

---

(6)
A plane-wave DFT calculation with GGA-PBE was carried out for CdGeBiH after structural relaxation.

The structure belongs to space group P1 (No. 1); the cell edges are 3.098, 4.433 and 6.545 Å and the angles 78.38°, 84.82° and 74.96°. The distinct sites, in fractional coordinates, are Cd at (0.000, 0.000, 0.000), Ge at (0.627, 0.621, 0.747), Bi at (0.533, 0.400, 0.340) and H at (0.605, 0.957, 0.564).

The total magnetization comes out at 0.00 μB per atom. As for the total energy: -2.93 eV/atom.

---

Copy entry 1 word for word.
A plane-wave DFT calculation with GGA-PBE was carried out for BeAuBr2 after structural relaxation.

The structure belongs to space group C2/m (No. 12); the cell edges are 7.525, 7.524 and 5.232 Å and the angles 90.00°, 133.53° and 90.00°. The distinct sites, in fractional coordinates, are Be at (0.000, 0.000, 0.000), Au at (0.000, 0.500, 0.000) and Br at (0.250, 0.250, 0.000).

The total magnetization comes out at 0.00 μB per atom. As for the total energy: -2.21 eV/atom.